1.
The following is a PBE calculation of crystalline TbPm2CdC at its relaxed geometry, from the Alexandria database.

As for the formation energy: -0.22 eV/atom.

The space group is P4/mmm (No. 123) and the conventional cell measures 5.117, 5.117 and 4.910 Å, with angles of 90.00, 90.00 and 90.00 degrees. The inequivalent atoms are Tb at (0.000, 0.000, 0.000), Pm at (0.000, 0.500, 0.500), Cd at (0.500, 0.500, 0.000) and C at (0.000, 0.000, 0.500).

2.
The following is a PBE calculation of crystalline HfPd2Br at its relaxed geometry, from the Alexandria database.

The formation energy (no corrections) comes out at -0.208 eV/atom. The energy above the most stable polymorph in this dataset is 0.00 eV/f.u.

The space group is I-42d (No. 122) and the conventional cell measures 7.553, 7.553 and 5.502 Å, with angles of 90.00, 90.00 and 90.00 degrees. The inequivalent atoms are Hf at (0.000, 0.000, 0.000), Pd at (0.241, 0.750, 0.125) and Br at (0.000, 0.000, 0.500).

3.
The following is a PBE calculation of crystalline Tb3Ni2Sn4 at its relaxed geometry, from the Alexandria database.

As for the formation energy: -0.64 eV/atom.

The space group is C2/m (No. 12) and the conventional cell measures 11.299, 4.438 and 8.557 Å, with angles of 90.00, 104.70 and 90.00 degrees. The inequivalent atoms are Tb at (0.000, 0.000, 0.000), Tb at (0.129, 0.500, 0.688), Ni at (0.204, 0.500, 0.395), Sn at (0.087, 0.000, 0.386) and Sn at (0.204, 0.500, 0.088).

4.
The following is a PBE calculation of crystalline ScTlCd at its relaxed geometry, from the Alexandria database.

As for the formation energy: -0.10 eV/atom.

The space group is Pnma (No. 62) and the conventional cell measures 8.712, 6.354 and 5.051 Å, with angles of 90.00, 90.00 and 90.00 degrees. The inequivalent atoms are Sc at (0.167, 0.250, 0.001), Tl at (0.000, 0.000, 0.500) and Cd at (0.167, 0.750, 0.001).

5.
The following is a PBE calculation of crystalline Mg3AsIr at its relaxed geometry, from the Alexandria database.

As for the formation energy: 0.42 eV/atom. The energy above the most stable polymorph in this dataset is 1.34 eV/f.u.

The space group is Pm-3m (No. 221) and the conventional cell measures 4.826, 4.826 and 4.826 Å, with angles of 90.00, 90.00 and 90.00 degrees. The inequivalent atoms are Mg at (0.000, 0.000, 0.500), As at (0.000, 0.000, 0.000) and Ir at (0.500, 0.500, 0.500).

6.
The following is a PBE calculation of crystalline KDyVCl6 at its relaxed geometry, from the Alexandria database.

The formation energy (no corrections) comes out at -1.857 eV/atom.

The space group is P-31c (No. 163) and the conventional cell measures 6.6454, 6.6454 and 14.1821 Å, with angles of 90.00, 90.00 and 120.00 degrees. The inequivalent atoms are K at (0.0000, 0.0000, 0.0000), Dy at (0.3333, 0.6667, 0.2500), V at (0.3333, 0.6667, 0.7500) and Cl at (0.0178, 0.3739, 0.6464).

7.
The following is a PBE calculation of crystalline La2AlFeN at its relaxed geometry, from the Alexandria database.

The formation energy (no corrections) comes out at -0.550 eV/atom.

The space group is P4/mmm (No. 123) and the conventional cell measures 5.347, 5.347 and 3.642 Å, with angles of 90.00, 90.00 and 90.00 degrees. The inequivalent atoms are La at (0.000, 0.500, 0.000), Al at (0.000, 0.000, 0.500), Fe at (0.500, 0.500, 0.500) and N at (0.500, 0.500, 0.000).

8.
The following is a PBE calculation of crystalline Cs3K6Au at its relaxed geometry, from the Alexandria database.

As for the formation energy: -0.03 eV/atom. The energy above the most stable polymorph in this dataset is 0.24 eV/f.u.

The space group is P2_1/c (No. 14) and the conventional cell measures 8.181, 13.505 and 16.023 Å, with angles of 90.00, 118.79 and 90.00 degrees. The inequivalent atoms are Cs at (0.000, 0.000, 0.000), Cs at (0.343, 0.064, 0.812), K at (0.176, 0.635, 0.030), K at (0.190, 0.119, 0.314), K at (0.450, 0.708, 0.873) and Au at (0.500, 0.000, 0.500).

no.,ρ (g/cm³),total energy (eV per cell)
1,7.4,-25.35
2,10.0,-91.37
3,8.6,-94.46
4,8.6,-39.63
5,5.0,-16.22
6,2.8,-85.22
7,6.0,-33.14
8,1.8,-25.35